Entry from Alexandria: crystalline CoTe2Ir at its relaxed geometry (PBE).

Cell lengths 7.0369, 7.0369, 7.0369 Å; angles 131.09, 131.09, 71.66 degrees
With the nearest neighbours (Å) after each atom.
Element x y z (fractional)
Co1 0.0000 0.0000 0.0000  4 Te 2.44
Co2 0.7500 0.2500 0.5000  4 Te 2.44
Te1 0.1064 0.6250 0.9814  2 Co 2.44, 2 Ir 2.57
Te2 0.3750 0.3564 0.4814  2 Co 2.44, 2 Ir 2.57
Te3 0.6436 0.1250 0.0186  2 Co 2.44, 2 Ir 2.57
Te4 0.8750 0.8936 0.5186  2 Co 2.44, 2 Ir 2.57
Ir1 0.2500 0.7500 0.5000  4 Te 2.57
Ir2 0.5000 0.5000 0.0000  4 Te 2.57

Calculated values
offset from the most stable computed form: 167 meV per atom
D(E_F): 0.991 states/eV per atom

=====

Entry from Alexandria: crystalline Al2CuCl at its relaxed geometry (PBE).

Cell lengths 5.1409, 5.1409, 5.1409 Å; angles 133.12, 133.12, 68.47 degrees
With the nearest neighbours (Å) after each atom.
Element x y z (fractional)
Al1 0.2500 0.7500 0.5000  4 Al 2.89, 4 Cl 2.95, 4 Cu 2.95
Al2 0.7500 0.2500 0.5000  4 Al 2.89, 4 Cl 2.95, 4 Cu 2.95
Cu1 0.0000 0.0000 0.0000  4 Cl 2.89, 8 Al 2.95
Cl1 0.5000 0.5000 0.0000  4 Cu 2.89, 8 Al 2.95

Calculated values
offset from the most stable computed form: 438 meV per atom
D(E_F): 0.190 states/eV per atom

=====

Entry from Alexandria: crystalline Mg2MoPt2 at its relaxed geometry (PBE).

Cell lengths 6.8947, 6.8947, 6.8947 Å; angles 147.90, 147.90, 46.04 degrees
With the nearest neighbours (Å) after each atom.
Element x y z (fractional)
Mg1 0.1070 0.1070 0.0000  4 Pt 2.63, 1 Mg 2.72
Mg2 0.8930 0.8930 0.0000  4 Pt 2.63, 1 Mg 2.72
Mo1 0.5000 0.5000 0.0000  8 Mg 3.02
Pt1 0.2500 0.7500 0.5000  4 Mg 2.63, 4 Pt 2.70
Pt2 0.7500 0.2500 0.5000  4 Mg 2.63, 4 Pt 2.70

Calculated values
offset from the most stable computed form: 595 meV per atom
D(E_F): 0.703 states/eV per atom
energy of formation: 1.482 eV/f.u.

=====

Entry from Alexandria: crystalline SiB at its relaxed geometry (PBE).

Cell lengths 5.5387, 5.5387, 5.5387 Å; angles 109.47, 109.47, 109.47 degrees
With the nearest neighbours (Å) after each atom.
Element x y z (fractional)
Si1 0.0000 0.0000 0.3154  4 B 1.95-2.07
Si2 0.0000 0.3154 0.0000  4 B 1.95-2.07
Si3 0.3154 0.0000 0.0000  4 B 1.95-2.07
Si4 0.6846 0.6846 0.6846  4 B 1.95-2.07
B1 0.0000 0.0000 0.6676  4 Si 1.95-2.07
B2 0.0000 0.6676 0.0000  4 Si 1.95-2.07
B3 0.3324 0.3324 0.3324  4 Si 1.95-2.07
B4 0.6676 0.0000 0.0000  4 Si 1.95-2.07

Calculated values
offset from the most stable computed form: 416 meV per atom
D(E_F): 0.399 states/eV per atom

=====

- What is the D(E_F) in the second record?
  0.190 states/eV per atom

=====

- Number 3 is which compound?
  Mg2MoPt2

=====

What did the second record say?
Entry from Alexandria: crystalline Al2CuCl at its relaxed geometry (PBE).

Cell lengths 5.1409, 5.1409, 5.1409 Å; angles 133.12, 133.12, 68.47 degrees
With the nearest neighbours (Å) after each atom.
Element x y z (fractional)
Al1 0.2500 0.7500 0.5000  4 Al 2.89, 4 Cl 2.95, 4 Cu 2.95
Al2 0.7500 0.2500 0.5000  4 Al 2.89, 4 Cl 2.95, 4 Cu 2.95
Cu1 0.0000 0.0000 0.0000  4 Cl 2.89, 8 Al 2.95
Cl1 0.5000 0.5000 0.0000  4 Cu 2.89, 8 Al 2.95

Calculated values
offset from the most stable computed form: 438 meV per atom
D(E_F): 0.190 states/eV per atom

=====

- Which formula does entry 2 have?
  Al2CuCl